First-principles (GGA-PBE) data for an optimized crystal structure of ReMo2As, as listed in Alexandria via LeMat-Bulk.

Its space-group type is Pm. For the total magnetization, the calculation gives 0.000 μB/atom. The value obtained for the density of states at the Fermi level is 2.81 states/eV per cell. The value obtained for the formation energy from the elements is 153 meV per atom.

Structure (CIF):
```
data_ReMo2As
_chemical_formula_sum 'Re1 Mo2 As1'
_space_group_name_H-M_alt 'P 1'
_space_group_IT_number 1
_cell_length_a 2.8878
_cell_length_b 4.3925
_cell_length_c 5.0977
_cell_angle_alpha 90.00
_cell_angle_beta 104.71
_cell_angle_gamma 90.00
loop_
_space_group_symop_operation_xyz
'x,y,z'
loop_
_atom_site_label
_atom_site_fract_x
_atom_site_fract_y
_atom_site_fract_z
Re1 0.0000 0.0000 0.0000
Mo1 0.3510 0.5000 0.7781
Mo2 0.5731 0.0000 0.4999
As1 0.0399 0.5000 0.2590
```